First-principles (GGA+U) data for a relaxed K4Pm3CrO8 crystal, as listed in Alexandria.

Summary:
The value obtained for the total energy is -103.46 eV/f.u. Its space group is R-3m (166). As for the calculated volume: 265 Å³/cell.

a = 7.4449 Å, b = 7.4449 Å, c = 7.4449 Å
α = 55.99°, β = 55.99°, γ = 55.99°
Last column: nearest neighbours and their distance in Å.
Fractional coordinates of all 16 atoms:
K  0.0000  0.0000  0.0000  6 O 2.93
K  0.0000  0.5000  0.5000  6 O 2.78
K  0.5000  0.0000  0.5000  6 O 2.78
K  0.5000  0.5000  0.0000  6 O 2.78
Pm  0.0000  0.0000  0.5000  6 O 2.35-2.39
Pm  0.0000  0.5000  0.0000  6 O 2.35-2.39
Pm  0.5000  0.0000  0.0000  6 O 2.35-2.39
Cr  0.5000  0.5000  0.5000  6 O 2.19
O  0.2311  0.2311  0.2311  3 Pm 2.35
O  0.2523  0.7157  0.7157  1 Cr 2.19, 2 Pm 2.39
O  0.2843  0.2843  0.7477  1 Cr 2.19, 2 Pm 2.39
O  0.2843  0.7477  0.2843  1 Cr 2.19, 2 Pm 2.39
O  0.7157  0.2523  0.7157  1 Cr 2.19, 2 Pm 2.39
O  0.7157  0.7157  0.2523  1 Cr 2.19, 2 Pm 2.39
O  0.7477  0.2843  0.2843  1 Cr 2.19, 2 Pm 2.39
O  0.7689  0.7689  0.7689  3 Pm 2.35